[1]
VASP calculation (PBE-GGA) on a relaxed Cu2MoIr crystal.

Lattice parameters (Å, degrees): 2.759 4.506 4.537 90.00 90.00 90.00
Positions (direct):
Ir1 0.500 0.000 0.500
Cu1 0.500 0.500 0.000
Cu2 0.000 0.000 0.000
Mo1 0.000 0.500 0.500

Output
Its total magnetization is 0.000 μB/atom. Its symmetry is Pmmm. For the density of states at the Fermi level, the calculation gives 1.054 states/eV per atom. As for the polymorph energy (0 for the lowest one): 202 meV per atom. The formation energy comes out at 0.2350 eV/atom.


[2]
VASP calculation (PBE-GGA) on a relaxed CeHo8Tm6 crystal.

Lattice parameters (Å, degrees): 6.465 9.307 9.307 120.00 90.00 90.00
Last column: magnetic moment on the atom in μB.
Positions (direct):
Tm1 0.592 0.680 0.091  0.02
Tm2 0.408 0.320 0.909  0.02
Tm3 0.592 0.909 0.589  0.02
Tm4 0.592 0.411 0.320  0.02
Tm5 0.408 0.091 0.411  0.02
Tm6 0.408 0.589 0.680  0.02
Ho1 0.097 0.027 0.687  0.00
Ho2 0.180 0.667 0.333  -0.01
Ho3 0.820 0.333 0.667  -0.01
Ho4 0.903 0.973 0.313  0.00
Ho5 0.097 0.313 0.339  0.00
Ho6 0.097 0.661 0.973  0.00
Ho7 0.903 0.339 0.027  0.00
Ho8 0.903 0.687 0.661  0.00
Ce1 0.500 0.000 0.000  0.93

Output
Its total magnetization is 0.083 μB/atom. Its symmetry is P-3. For the density of states at the Fermi level, the calculation gives 1.742 states/eV per atom. As for the polymorph energy (0 for the lowest one): 120 meV per atom. The formation energy comes out at 0.2553 eV/atom.


[3]
VASP calculation (PBE-GGA) on a relaxed Cr2Ir crystal.

Lattice parameters (Å, degrees): 4.976 4.976 6.235 75.78 75.78 30.93
Positions (direct):
Cr1 0.609 0.609 0.276
Cr2 0.995 0.995 0.005
Cr3 0.333 0.333 0.334
Cr4 0.671 0.671 0.664
Ir1 0.273 0.273 0.953
Ir2 0.952 0.952 0.602

Output
Its total magnetization is 0.001 μB/atom. Its symmetry is Cm. For the density of states at the Fermi level, the calculation gives 1.321 states/eV per atom. The formation energy comes out at -0.0075 eV/atom.


[4]
VASP calculation (PBE-GGA) on a relaxed Ca2YHg crystal.

Lattice parameters (Å, degrees): 10.979 10.979 10.979 19.96 19.96 19.96
Positions (direct):
Ca1 0.511 0.511 0.511
Ca2 0.989 0.989 0.989
Y1 0.750 0.750 0.750
Hg1 0.250 0.250 0.250

Output
Its total magnetization is 0.000 μB/atom. Its symmetry is R-3m. For the density of states at the Fermi level, the calculation gives 1.247 states/eV per atom. The formation energy comes out at -0.1219 eV/atom.


Copy entry 4 word for word.
VASP calculation (PBE-GGA) on a relaxed Ca2YHg crystal.

Lattice parameters (Å, degrees): 10.979 10.979 10.979 19.96 19.96 19.96
Positions (direct):
Ca1 0.511 0.511 0.511
Ca2 0.989 0.989 0.989
Y1 0.750 0.750 0.750
Hg1 0.250 0.250 0.250

Output
Its total magnetization is 0.000 μB/atom. Its symmetry is R-3m. For the density of states at the Fermi level, the calculation gives 1.247 states/eV per atom. The formation energy comes out at -0.1219 eV/atom.